A relaxed Na4LiU3Se8 crystal, computed with PBE.

Calculated density   5.8 Mg/m³
Uncorrected energy   -5.524 eV per atom
Size of the total moment   0.4375 μB per atom

Cell: 8.443 8.443 8.443 Å, 58.74 58.74 58.74°
Element x y z (fractional)
1 Na 0.000 0.000 0.000
2 Na 0.000 0.500 0.500
3 Na 0.500 0.000 0.500
4 Na 0.500 0.500 0.000
5 Li 0.500 0.500 0.500
6 U 0.000 0.000 0.500
7 U 0.000 0.500 0.000
8 U 0.500 0.000 0.000
9 Se 0.238 0.744 0.744
10 Se 0.245 0.245 0.245
11 Se 0.256 0.256 0.762
12 Se 0.256 0.762 0.256
13 Se 0.744 0.238 0.744
14 Se 0.744 0.744 0.238
15 Se 0.755 0.755 0.755
16 Se 0.762 0.256 0.256